1:
VASP calculation (PBE) on a relaxed structure of BiPSe.

Properties
spin magnetization	0.0	μB per formula unit
symmetry	P1, No. 1

a b c (Å): 4.735 5.624 6.981
angles (deg): 85.14 76.49 80.12
Fractional coordinates of all 6 atoms:
Bi 0.012 0.102 0.472
Bi 0.773 0.604 0.955
P 0.178 0.369 0.137
P 0.316 0.661 0.281
Se 0.086 0.978 0.914
Se 0.386 0.415 0.554

2:
VASP calculation (PBE) on a relaxed structure of BiPSe.

Properties
spin magnetization	0.0	μB per formula unit
symmetry	P1, No. 1

a b c (Å): 5.025 5.163 7.243
angles (deg): 84.06 72.80 69.01
Fractional coordinates of all 6 atoms:
Bi 0.153 0.240 0.472
Bi 0.010 0.746 0.013
P 0.259 0.237 0.819
P 0.741 0.022 0.719
Se 0.594 0.452 0.147
Se 0.685 0.742 0.517

3:
VASP calculation (PBE) on a relaxed structure of BiPSe.

Properties
spin magnetization	0.0	μB per formula unit
symmetry	P1, No. 1

a b c (Å): 5.096 5.105 7.437
angles (deg): 75.62 83.22 87.72
Fractional coordinates of all 6 atoms:
Bi 0.882 0.906 0.866
Bi 0.594 0.554 0.237
P 0.995 0.169 0.123
P 0.281 0.488 0.981
Se 0.533 0.381 0.740
Se 0.159 0.880 0.366

Stability comparison, relative energies in eV/atom: 1 0.096; 2 0.063; 3 0.000